1.
Entry from Alexandria via LeMat-Bulk: ZnWAu2 after structural relaxation (PBEsol).

```
ZnWAu2
1.0
-1.675 1.573 -1.648
-1.560 -1.229 -2.013
-7.893 -0.938 4.701
W Au Zn
1 2 1
direct
0.500 0.500 0.500
0.748 0.748 0.757
0.252 0.252 0.243
0.000 0.000 0.000
```

Fermi-level density of states: 0.549 states/eV/atom
Space group: No. 166
ΔH_f (0 K): 14.1 kJ/mol of atoms


2.
Entry from Alexandria via LeMat-Bulk: SrInSb after structural relaxation (PBEsol).

```
SrInSb
1.0
5.295 0.000 0.000
2.648 4.586 0.000
2.648 1.529 4.324
Sr In Sb
1 1 1
direct
0.250 0.250 0.250
0.000 0.000 0.000
0.500 0.500 0.500
```

Space group: No. 216


3.
Entry from Alexandria via LeMat-Bulk: SrNi2Se after structural relaxation (PBEsol).

```
SrNi2Se
1.0
-0.074 -0.480 3.386
4.800 -1.283 -0.076
-1.267 4.946 -1.055
Sr Ni Se
1 2 1
direct
0.000 0.500 0.000
0.801 0.801 0.602
0.199 0.199 0.398
0.500 0.000 0.000
```

Fermi-level density of states: 0.416 states/eV/atom
Space group: No. 71


4.
Entry from Alexandria via LeMat-Bulk: NbRhI2O after structural relaxation (PBEsol).

```
NbRhI2O
1.0
3.665 0.000 0.000
0.000 5.435 0.000
0.000 0.000 5.435
I Rh Nb O
2 1 1 1
direct
0.000 0.500 0.000
0.000 0.000 0.500
0.000 0.000 0.000
0.500 0.500 0.500
0.500 0.000 0.000
```

Fermi-level density of states: 0.750 states/eV/atom
Space group: No. 123


5.
Entry from Alexandria via LeMat-Bulk: Y2ScAl after structural relaxation (PBEsol).

```
Y2ScAl
1.0
-1.174 -1.449 -2.844
-2.459 -2.343 0.175
-8.263 6.074 -1.718
Y Sc Al
2 1 1
direct
0.997 0.997 0.009
0.760 0.760 0.720
0.240 0.240 0.280
0.503 0.503 0.491
```

Fermi-level density of states: 1.246 states/eV/atom
Space group: No. 160
ΔH_f (0 K): -4.7 kJ/mol of atoms


6.
Entry from Alexandria via LeMat-Bulk: BaTc2BiAu after structural relaxation (PBEsol).

```
BaTc2BiAu
1.0
5.040 0.000 0.000
0.000 5.040 0.000
0.000 0.000 6.497
Bi Au Tc Ba
1 1 2 1
direct
0.000 0.000 0.000
0.500 0.500 0.500
0.500 0.000 0.000
0.000 0.500 0.000
0.000 0.000 0.500
```

Fermi-level density of states: 0.954 states/eV/atom
Space group: No. 123
ΔH_f (0 K): 163.1 kJ/mol of atoms


7.
Entry from Alexandria via LeMat-Bulk: AlNiAs after structural relaxation (PBEsol).

```
AlNiAs
1.0
3.966 0.000 0.000
1.983 3.434 0.000
1.983 1.145 3.238
Al As Ni
1 1 1
direct
0.000 0.000 0.000
0.500 0.500 0.500
0.750 0.750 0.750
```

Fermi-level density of states: 0.257 states/eV/atom
Space group: No. 216
ΔH_f (0 K): -44.3 kJ/mol of atoms


8.
Entry from Alexandria via LeMat-Bulk: Mn2BePb after structural relaxation (PBEsol).

```
Mn2BePb
1.0
-1.108 -2.387 1.358
2.709 -1.191 0.117
0.929 2.645 5.407
Be Mn Pb
1 2 1
direct
0.500 0.500 0.500
0.000 0.000 0.332
0.000 0.000 0.668
0.500 0.500 0.000
```

Fermi-level density of states: 1.073 states/eV/atom
Space group: No. 123
ΔH_f (0 K): 55.1 kJ/mol of atoms


9.
Entry from Alexandria via LeMat-Bulk: InHg6Sb4Br7 after structural relaxation (PBEsol).

```
InHg6Sb4Br7
1.0
-7.022 -7.206 -8.207
-6.807 -4.742 9.988
-8.540 9.704 -1.214
Hg Br Sb In
24 28 16 4
direct
0.552 0.320 0.290
0.710 0.052 0.180
0.948 0.820 0.290
0.448 0.820 0.210
0.290 0.948 0.820
0.790 0.552 0.180
0.552 0.180 0.790
0.052 0.180 0.710
0.320 0.210 0.052
0.320 0.290 0.552
0.448 0.680 0.710
0.710 0.448 0.680
0.680 0.710 0.448
0.820 0.210 0.448
0.052 0.320 0.210
0.790 0.948 0.680
0.180 0.710 0.052
0.180 0.790 0.552
0.680 0.790 0.948
0.820 0.290 0.948
0.290 0.552 0.320
0.210 0.448 0.820
0.948 0.680 0.790
0.210 0.052 0.320
0.042 0.952 0.802
0.458 0.452 0.802
0.802 0.458 0.452
0.548 0.198 0.542
0.452 0.802 0.458
0.542 0.952 0.698
0.542 0.548 0.198
0.048 0.198 0.958
0.302 0.042 0.548
0.548 0.302 0.042
0.042 0.548 0.302
0.000 0.000 0.500
0.802 0.042 0.952
0.198 0.958 0.048
0.952 0.802 0.042
0.048 0.302 0.458
0.000 0.500 0.000
0.958 0.048 0.198
0.452 0.698 0.958
0.952 0.698 0.542
0.698 0.542 0.952
0.500 0.500 0.500
0.500 0.000 0.000
0.698 0.958 0.452
0.458 0.048 0.302
0.958 0.452 0.698
0.198 0.542 0.548
0.302 0.458 0.048
0.261 0.761 0.739
0.239 0.239 0.239
0.135 0.865 0.365
0.739 0.261 0.761
0.739 0.239 0.261
0.635 0.635 0.635
0.865 0.365 0.135
0.365 0.365 0.365
0.239 0.261 0.739
0.761 0.761 0.761
0.135 0.635 0.865
0.761 0.739 0.261
0.261 0.739 0.239
0.865 0.135 0.635
0.365 0.135 0.865
0.635 0.865 0.135
0.000 0.500 0.500
0.500 0.000 0.500
0.000 0.000 0.000
0.500 0.500 0.000
```

Space group: No. 205


10.
Entry from Alexandria via LeMat-Bulk: SmB2Rh3 after structural relaxation (PBEsol).

```
SmB2Rh3
1.0
-0.049 0.656 3.012
-3.876 -3.690 0.740
5.196 -1.424 0.396
B Rh Sm
2 3 1
direct
0.000 0.333 0.667
0.000 0.667 0.333
0.500 0.500 0.500
0.500 0.000 0.500
0.500 0.500 0.000
0.000 0.000 0.000
```

Fermi-level density of states: 0.501 states/eV/atom
Space group: No. 191
ΔH_f (0 K): -70.6 kJ/mol of atoms


11.
Entry from Alexandria via LeMat-Bulk: Y2GeIN after structural relaxation (PBEsol).

```
Y2GeIN
1.0
-3.786 0.801 -0.107
-0.680 -3.732 -3.913
-0.913 -3.808 3.790
Ge I Y N
1 1 2 1
direct
0.000 0.000 0.000
0.500 0.500 0.500
0.000 0.000 0.500
0.000 0.500 0.000
0.500 0.000 0.000
```

Fermi-level density of states: 0.614 states/eV/atom
Space group: No. 123


12.
Entry from Alexandria via LeMat-Bulk: AlBiOs3 after structural relaxation (PBEsol).

```
AlBiOs3
1.0
4.493 0.000 0.000
0.000 4.493 0.000
0.000 0.000 4.493
Al Os Bi
1 3 1
direct
0.000 0.000 0.000
0.500 0.000 0.000
0.000 0.500 0.000
0.000 0.000 0.500
0.500 0.500 0.500
```

Fermi-level density of states: 1.570 states/eV/atom
Space group: No. 221
ΔH_f (0 K): 155.2 kJ/mol of atoms


Listing total magnetization for the structures above in their given order: 0.0; 0.0; 0.0; 3.1; 0.0; 4.2; 0.0; 0.0; 0.0; 0.0; 0.0; 0.0 μB/f.u..
Listing E_tot for the structures above in their given order: -22.65; -10.25; -18.10; -26.20; -24.53; -24.44; -16.73; -25.24; -177.15; -47.93; -29.00; -36.98 eV for the cell shown.